1) VASP calculation (GGA-PBE) on crystalline LuBeBi at its relaxed geometry. Values from VASP.

Structure (Quantum ESPRESSO input):
```
&SYSTEM
  ibrav = 0, nat = 3, ntyp = 3
/
ATOMIC_SPECIES
Be 9.01 Be.upf
Bi 208.98 Bi.upf
Lu 174.97 Lu.upf
CELL_PARAMETERS angstrom
-4.7604 -0.5992 0.8196
-2.4642 3.3203 2.5682
-3.2334 2.8839 -2.2182
ATOMIC_POSITIONS crystal
Be 0.2500 0.2500 0.2500
Bi 0.7500 0.7500 0.7500
Lu 0.0000 0.0000 0.0000
```


2) VASP calculation (GGA-PBE) on crystalline LuBeBi at its relaxed geometry. Values from VASP.

Structure (Quantum ESPRESSO input):
```
&SYSTEM
  ibrav = 0, nat = 3, ntyp = 3
/
ATOMIC_SPECIES
Be 9.01 Be.upf
Bi 208.98 Bi.upf
Lu 174.97 Lu.upf
CELL_PARAMETERS angstrom
0.0000 3.2575 3.2575
3.2575 0.0000 3.2575
3.2575 3.2575 0.0000
ATOMIC_POSITIONS crystal
Be 0.0000 0.0000 0.0000
Bi 0.2500 0.2500 0.2500
Lu 0.7500 0.7500 0.7500
```


Verdict on stability: 1) comes out at the bottom.


1) VASP calculation (GGA-PBE) on crystalline LuBeNiBi at its relaxed geometry. Values from VASP.

Structure (Quantum ESPRESSO input):
```
&SYSTEM
  ibrav = 0, nat = 4, ntyp = 4
/
ATOMIC_SPECIES
Be 9.01 Be.upf
Bi 208.98 Bi.upf
Lu 174.97 Lu.upf
Ni 58.69 Ni.upf
CELL_PARAMETERS angstrom
0.7056 -4.4668 1.1789
-3.2504 -2.3166 2.4307
-2.4877 -3.3802 -2.0557
ATOMIC_POSITIONS crystal
Be 0.2500 0.2500 0.2500
Bi 0.0000 0.0000 0.0000
Lu 0.5000 0.5000 0.5000
Ni 0.7500 0.7500 0.7500
```


2) VASP calculation (GGA-PBE) on crystalline LuBeNiBi at its relaxed geometry. Values from VASP.

Structure (Quantum ESPRESSO input):
```
&SYSTEM
  ibrav = 0, nat = 4, ntyp = 4
/
ATOMIC_SPECIES
Be 9.01 Be.upf
Bi 208.98 Bi.upf
Lu 174.97 Lu.upf
Ni 58.69 Ni.upf
CELL_PARAMETERS angstrom
-1.5317 -3.5639 2.7022
-4.5664 -1.2224 -0.0651
-1.3277 -4.0761 -1.9931
ATOMIC_POSITIONS crystal
Be 0.5000 0.5000 0.5000
Bi 0.0000 0.0000 0.0000
Lu 0.2500 0.2500 0.2500
Ni 0.7500 0.7500 0.7500
```


Verdict on stability: 2) comes out at the bottom.


1) VASP calculation (GGA-PBE) on crystalline LuBeBiOs at its relaxed geometry. Values from VASP.

Structure (Quantum ESPRESSO input):
```
&SYSTEM
  ibrav = 0, nat = 4, ntyp = 4
/
ATOMIC_SPECIES
Be 9.01 Be.upf
Bi 208.98 Bi.upf
Lu 174.97 Lu.upf
Os 190.23 Os.upf
CELL_PARAMETERS angstrom
3.9790 -1.8955 -1.5704
1.9470 -3.5852 2.2907
-0.0341 -4.2797 -1.8908
ATOMIC_POSITIONS crystal
Be 0.7500 0.7500 0.7500
Bi 0.2500 0.2500 0.2500
Lu 0.5000 0.5000 0.5000
Os 0.0000 0.0000 0.0000
```


2) VASP calculation (GGA-PBE) on crystalline LuBeBiOs at its relaxed geometry. Values from VASP.

Structure (Quantum ESPRESSO input):
```
&SYSTEM
  ibrav = 0, nat = 4, ntyp = 4
/
ATOMIC_SPECIES
Be 9.01 Be.upf
Bi 208.98 Bi.upf
Lu 174.97 Lu.upf
Os 190.23 Os.upf
CELL_PARAMETERS angstrom
0.0000 3.3545 3.3545
3.3545 0.0000 3.3545
3.3545 3.3545 0.0000
ATOMIC_POSITIONS crystal
Be 0.7500 0.7500 0.7500
Bi 0.5000 0.5000 0.5000
Lu 0.2500 0.2500 0.2500
Os 0.0000 0.0000 0.0000
```


Verdict on stability: 2) comes out at the bottom.